(1)
A plane-wave DFT calculation with GGA-PBE was carried out for a relaxed structure of AcMgNi2.

CIF file:
```
data_AcMgNi2
_symmetry_space_group_name_H-M 'P 1'
_symmetry_Int_Tables_number 1
_cell_length_a 3.440
_cell_length_b 3.440
_cell_length_c 6.610
_cell_angle_alpha 90.00
_cell_angle_beta 90.00
_cell_angle_gamma 90.00
loop_
_symmetry_equiv_pos_as_xyz
'x,y,z'
loop_
_atom_site_label
_atom_site_type_symbol
_atom_site_fract_x
_atom_site_fract_y
_atom_site_fract_z
_atom_site_occupancy
Ac1 Ac 0.000 0.000 0.000 1
Mg1 Mg 0.000 0.000 0.500 1
Ni1 Ni 0.500 0.500 0.308 1
Ni2 Ni 0.500 0.500 0.692 1
```

Properties
Density (g cm⁻³): 7.83
Symmetry: No. 123
Calculated volume (A^3/atom): 19.552
VASP energy (eV for the cell shown): -17.46
Density of states at the Fermi level (states/eV/f.u.): 1.89

=====

(2)
A plane-wave DFT calculation with GGA-PBE was carried out for a relaxed structure of Ac3MgNi8.

CIF file:
```
data_Ac3MgNi8
_symmetry_space_group_name_H-M 'P 1'
_symmetry_Int_Tables_number 1
_cell_length_a 9.159
_cell_length_b 9.159
_cell_length_c 9.159
_cell_angle_alpha 33.11
_cell_angle_beta 33.11
_cell_angle_gamma 33.11
loop_
_symmetry_equiv_pos_as_xyz
'x,y,z'
loop_
_atom_site_label
_atom_site_type_symbol
_atom_site_fract_x
_atom_site_fract_y
_atom_site_fract_z
_atom_site_occupancy
Ac1 Ac 0.000 0.000 0.000 1
Ac2 Ac 0.128 0.128 0.128 1
Ac3 Ac 0.614 0.614 0.614 1
Mg1 Mg 0.492 0.492 0.492 1
Ni1 Ni 0.056 0.056 0.560 1
Ni2 Ni 0.056 0.560 0.056 1
Ni3 Ni 0.066 0.561 0.561 1
Ni4 Ni 0.309 0.309 0.309 1
Ni5 Ni 0.560 0.056 0.056 1
Ni6 Ni 0.561 0.066 0.561 1
Ni7 Ni 0.561 0.561 0.066 1
Ni8 Ni 0.811 0.811 0.811 1
```

Properties
Density (g cm⁻³): 9.56
Symmetry: No. 160
Calculated volume (A^3/atom): 17.001
VASP energy (eV for the cell shown): -62.40
Density of states at the Fermi level (states/eV/f.u.): 8.34

=====

(3)
A plane-wave DFT calculation with GGA-PBE was carried out for a relaxed structure of Ac5MgNi2.

CIF file:
```
data_Ac5MgNi2
_symmetry_space_group_name_H-M 'P 1'
_symmetry_Int_Tables_number 1
_cell_length_a 4.054
_cell_length_b 7.748
_cell_length_c 17.454
_cell_angle_alpha 90.00
_cell_angle_beta 90.00
_cell_angle_gamma 90.00
loop_
_symmetry_equiv_pos_as_xyz
'x,y,z'
loop_
_atom_site_label
_atom_site_type_symbol
_atom_site_fract_x
_atom_site_fract_y
_atom_site_fract_z
_atom_site_occupancy
Ac1 Ac 0.000 0.000 0.000 1
Ac2 Ac 0.000 0.248 0.345 1
Ac3 Ac 0.000 0.248 0.655 1
Ac4 Ac 0.000 0.752 0.345 1
Ac5 Ac 0.000 0.752 0.655 1
Ac6 Ac 0.500 0.252 0.155 1
Ac7 Ac 0.500 0.252 0.845 1
Ac8 Ac 0.500 0.500 0.500 1
Ac9 Ac 0.500 0.748 0.155 1
Ac10 Ac 0.500 0.748 0.845 1
Mg1 Mg 0.000 0.500 0.000 1
Mg2 Mg 0.500 0.000 0.500 1
Ni1 Ni 0.000 0.000 0.209 1
Ni2 Ni 0.000 0.000 0.791 1
Ni3 Ni 0.500 0.500 0.291 1
Ni4 Ni 0.500 0.500 0.709 1
```

Properties
Density (g cm⁻³): 7.73
Symmetry: No. 71
Calculated volume (A^3/atom): 34.268
VASP energy (eV for the cell shown): -68.75
Density of states at the Fermi level (states/eV/f.u.): 9.21

=====

(4)
A plane-wave DFT calculation with GGA-PBE was carried out for a relaxed structure of Ac4MgNi.

CIF file:
```
data_Ac4MgNi
_symmetry_space_group_name_H-M 'P 1'
_symmetry_Int_Tables_number 1
_cell_length_a 5.296
_cell_length_b 5.296
_cell_length_c 8.238
_cell_angle_alpha 90.00
_cell_angle_beta 90.00
_cell_angle_gamma 90.00
loop_
_symmetry_equiv_pos_as_xyz
'x,y,z'
loop_
_atom_site_label
_atom_site_type_symbol
_atom_site_fract_x
_atom_site_fract_y
_atom_site_fract_z
_atom_site_occupancy
Ac1 Ac 0.000 0.500 0.216 1
Ac2 Ac 0.000 0.500 0.784 1
Ac3 Ac 0.500 0.000 0.216 1
Ac4 Ac 0.500 0.000 0.784 1
Mg1 Mg 0.000 0.000 0.500 1
Ni1 Ni 0.500 0.500 0.000 1
```

Properties
Density (g cm⁻³): 7.12
Symmetry: No. 123
Calculated volume (A^3/atom): 38.513
VASP energy (eV for the cell shown): -22.85
Density of states at the Fermi level (states/eV/f.u.): 8.39

=====

(5)
A plane-wave DFT calculation with GGA-PBE was carried out for a relaxed structure of Ac4Mg5Ni2.

CIF file:
```
data_Ac4Mg5Ni2
_symmetry_space_group_name_H-M 'P 1'
_symmetry_Int_Tables_number 1
_cell_length_a 8.279
_cell_length_b 3.941
_cell_length_c 10.079
_cell_angle_alpha 90.00
_cell_angle_beta 93.43
_cell_angle_gamma 90.00
loop_
_symmetry_equiv_pos_as_xyz
'x,y,z'
loop_
_atom_site_label
_atom_site_type_symbol
_atom_site_fract_x
_atom_site_fract_y
_atom_site_fract_z
_atom_site_occupancy
Ac1 Ac 0.161 0.000 0.345 1
Ac2 Ac 0.221 0.000 0.952 1
Ac3 Ac 0.779 0.000 0.048 1
Ac4 Ac 0.839 0.000 0.655 1
Mg1 Mg 0.190 0.500 0.655 1
Mg2 Mg 0.454 0.500 0.189 1
Mg3 Mg 0.500 0.500 0.500 1
Mg4 Mg 0.546 0.500 0.811 1
Mg5 Mg 0.810 0.500 0.345 1
Ni1 Ni 0.053 0.500 0.131 1
Ni2 Ni 0.947 0.500 0.869 1
```

Properties
Density (g cm⁻³): 5.80
Symmetry: No. 10
Calculated volume (A^3/atom): 29.840
VASP energy (eV for the cell shown): -37.04
Density of states at the Fermi level (states/eV/f.u.): 8.68

=====

(6)
A plane-wave DFT calculation with GGA-PBE was carried out for a relaxed structure of Ac4MgNi2.

CIF file:
```
data_Ac4MgNi2
_symmetry_space_group_name_H-M 'P 1'
_symmetry_Int_Tables_number 1
_cell_length_a 7.320
_cell_length_b 7.392
_cell_length_c 9.476
_cell_angle_alpha 107.57
_cell_angle_beta 107.29
_cell_angle_gamma 103.18
loop_
_symmetry_equiv_pos_as_xyz
'x,y,z'
loop_
_atom_site_label
_atom_site_type_symbol
_atom_site_fract_x
_atom_site_fract_y
_atom_site_fract_z
_atom_site_occupancy
Ac1 Ac 0.000 0.000 0.000 1
Ac2 Ac 0.007 0.221 0.532 1
Ac3 Ac 0.283 0.628 0.387 1
Ac4 Ac 0.415 0.074 0.813 1
Ac5 Ac 0.439 0.154 0.397 1
Ac6 Ac 0.566 0.725 0.116 1
Ac7 Ac 0.861 0.705 0.542 1
Ac8 Ac 0.965 0.465 0.929 1
Mg1 Mg 0.513 0.585 0.732 1
Mg2 Mg 0.745 0.319 0.197 1
Ni1 Ni 0.020 0.832 0.273 1
Ni2 Ni 0.197 0.676 0.789 1
Ni3 Ni 0.371 0.351 0.139 1
Ni4 Ni 0.712 0.025 0.656 1
```

Properties
Density (g cm⁻³): 7.97
Symmetry: No. 1
Calculated volume (A^3/atom): 31.241
VASP energy (eV for the cell shown): -60.77
Density of states at the Fermi level (states/eV/f.u.): 6.75

=====

(7)
A plane-wave DFT calculation with GGA-PBE was carried out for a relaxed structure of AcMgNi2.

CIF file:
```
data_AcMgNi2
_symmetry_space_group_name_H-M 'P 1'
_symmetry_Int_Tables_number 1
_cell_length_a 4.137
_cell_length_b 6.787
_cell_length_c 6.930
_cell_angle_alpha 90.00
_cell_angle_beta 107.21
_cell_angle_gamma 90.00
loop_
_symmetry_equiv_pos_as_xyz
'x,y,z'
loop_
_atom_site_label
_atom_site_type_symbol
_atom_site_fract_x
_atom_site_fract_y
_atom_site_fract_z
_atom_site_occupancy
Ac1 Ac 0.097 0.250 0.200 1
Ac2 Ac 0.903 0.750 0.800 1
Mg1 Mg 0.360 0.250 0.723 1
Mg2 Mg 0.640 0.750 0.277 1
Ni1 Ni 0.244 0.580 0.487 1
Ni2 Ni 0.244 0.920 0.487 1
Ni3 Ni 0.756 0.080 0.513 1
Ni4 Ni 0.756 0.420 0.513 1
```

Properties
Density (g cm⁻³): 6.59
Symmetry: No. 11
Calculated volume (A^3/atom): 23.233
VASP energy (eV for the cell shown): -35.87
Density of states at the Fermi level (states/eV/f.u.): 4.30

=====

(8)
A plane-wave DFT calculation with GGA-PBE was carried out for a relaxed structure of Ac2Mg2Ni15.

CIF file:
```
data_Ac2Mg2Ni15
_symmetry_space_group_name_H-M 'P 1'
_symmetry_Int_Tables_number 1
_cell_length_a 6.480
_cell_length_b 6.480
_cell_length_c 6.480
_cell_angle_alpha 82.77
_cell_angle_beta 82.77
_cell_angle_gamma 82.77
loop_
_symmetry_equiv_pos_as_xyz
'x,y,z'
loop_
_atom_site_label
_atom_site_type_symbol
_atom_site_fract_x
_atom_site_fract_y
_atom_site_fract_z
_atom_site_occupancy
Ac1 Ac 0.150 0.150 0.150 1
Ac2 Ac 0.850 0.850 0.850 1
Mg1 Mg 0.399 0.399 0.399 1
Mg2 Mg 0.601 0.601 0.601 1
Ni1 Ni 0.000 0.500 0.500 1
Ni2 Ni 0.159 0.159 0.654 1
Ni3 Ni 0.159 0.654 0.159 1
Ni4 Ni 0.209 0.500 0.791 1
Ni5 Ni 0.209 0.791 0.500 1
Ni6 Ni 0.346 0.841 0.841 1
Ni7 Ni 0.500 0.000 0.500 1
Ni8 Ni 0.500 0.209 0.791 1
Ni9 Ni 0.500 0.500 0.000 1
Ni10 Ni 0.500 0.791 0.209 1
Ni11 Ni 0.654 0.159 0.159 1
Ni12 Ni 0.791 0.209 0.500 1
Ni13 Ni 0.791 0.500 0.209 1
Ni14 Ni 0.841 0.346 0.841 1
Ni15 Ni 0.841 0.841 0.346 1
```

Properties
Density (g cm⁻³): 8.63
Symmetry: No. 166
Calculated volume (A^3/atom): 14.003
VASP energy (eV for the cell shown): -101.22
Density of states at the Fermi level (states/eV/f.u.): 23.55

=====

(9)
A plane-wave DFT calculation with GGA-PBE was carried out for a relaxed structure of AcMgNi.

CIF file:
```
data_AcMgNi
_symmetry_space_group_name_H-M 'P 1'
_symmetry_Int_Tables_number 1
_cell_length_a 3.940
_cell_length_b 4.759
_cell_length_c 9.056
_cell_angle_alpha 90.00
_cell_angle_beta 90.00
_cell_angle_gamma 90.00
loop_
_symmetry_equiv_pos_as_xyz
'x,y,z'
loop_
_atom_site_label
_atom_site_type_symbol
_atom_site_fract_x
_atom_site_fract_y
_atom_site_fract_z
_atom_site_occupancy
Ac1 Ac 0.000 0.000 0.000 1
Ac2 Ac 0.500 0.500 0.342 1
Mg1 Mg 0.000 0.000 0.582 1
Mg2 Mg 0.500 0.500 0.746 1
Ni1 Ni 0.000 0.500 0.563 1
Ni2 Ni 0.500 0.500 0.028 1
```

Properties
Density (g cm⁻³): 6.06
Symmetry: No. 25
Calculated volume (A^3/atom): 28.303
VASP energy (eV for the cell shown): -23.24
Density of states at the Fermi level (states/eV/f.u.): 1.81

=====

(10)
A plane-wave DFT calculation with GGA-PBE was carried out for a relaxed structure of AcMgNi.

CIF file:
```
data_AcMgNi
_symmetry_space_group_name_H-M 'P 1'
_symmetry_Int_Tables_number 1
_cell_length_a 4.967
_cell_length_b 4.975
_cell_length_c 11.928
_cell_angle_alpha 90.00
_cell_angle_beta 90.00
_cell_angle_gamma 90.00
loop_
_symmetry_equiv_pos_as_xyz
'x,y,z'
loop_
_atom_site_label
_atom_site_type_symbol
_atom_site_fract_x
_atom_site_fract_y
_atom_site_fract_z
_atom_site_occupancy
Ac1 Ac 0.000 0.000 0.231 1
Ac2 Ac 0.000 0.000 0.769 1
Ac3 Ac 0.500 0.500 0.231 1
Ac4 Ac 0.500 0.500 0.769 1
Mg1 Mg 0.000 0.000 0.500 1
Mg2 Mg 0.000 0.500 0.000 1
Mg3 Mg 0.500 0.000 0.000 1
Mg4 Mg 0.500 0.500 0.500 1
Ni1 Ni 0.000 0.500 0.392 1
Ni2 Ni 0.000 0.500 0.608 1
Ni3 Ni 0.500 0.000 0.392 1
Ni4 Ni 0.500 0.000 0.608 1
```

Properties
Density (g cm⁻³): 6.99
Symmetry: No. 65
Calculated volume (A^3/atom): 24.558
VASP energy (eV for the cell shown): -46.22
Density of states at the Fermi level (states/eV/f.u.): 2.76

=====

(11)
A plane-wave DFT calculation with GGA-PBE was carried out for a relaxed structure of AcMgNi2.

CIF file:
```
data_AcMgNi2
_symmetry_space_group_name_H-M 'P 1'
_symmetry_Int_Tables_number 1
_cell_length_a 4.820
_cell_length_b 4.820
_cell_length_c 3.432
_cell_angle_alpha 90.00
_cell_angle_beta 90.00
_cell_angle_gamma 90.00
loop_
_symmetry_equiv_pos_as_xyz
'x,y,z'
loop_
_atom_site_label
_atom_site_type_symbol
_atom_site_fract_x
_atom_site_fract_y
_atom_site_fract_z
_atom_site_occupancy
Ac1 Ac 0.000 0.000 0.000 1
Mg1 Mg 0.500 0.500 0.000 1
Ni1 Ni 0.000 0.500 0.500 1
Ni2 Ni 0.500 0.000 0.500 1
```

Properties
Density (g cm⁻³): 7.68
Symmetry: No. 123
Calculated volume (A^3/atom): 19.936
VASP energy (eV for the cell shown): -17.29
Density of states at the Fermi level (states/eV/f.u.): 2.24

=====

(12)
A plane-wave DFT calculation with GGA-PBE was carried out for a relaxed structure of AcMgNi.

CIF file:
```
data_AcMgNi
_symmetry_space_group_name_H-M 'P 1'
_symmetry_Int_Tables_number 1
_cell_length_a 6.897
_cell_length_b 6.897
_cell_length_c 6.897
_cell_angle_alpha 90.00
_cell_angle_beta 90.00
_cell_angle_gamma 90.00
loop_
_symmetry_equiv_pos_as_xyz
'x,y,z'
loop_
_atom_site_label
_atom_site_type_symbol
_atom_site_fract_x
_atom_site_fract_y
_atom_site_fract_z
_atom_site_occupancy
Ac1 Ac 0.000 0.000 0.000 1
Ac2 Ac 0.000 0.500 0.500 1
Ac3 Ac 0.500 0.000 0.500 1
Ac4 Ac 0.500 0.500 0.000 1
Mg1 Mg 0.000 0.000 0.500 1
Mg2 Mg 0.000 0.500 0.000 1
Mg3 Mg 0.500 0.000 0.000 1
Mg4 Mg 0.500 0.500 0.500 1
Ni1 Ni 0.250 0.250 0.750 1
Ni2 Ni 0.250 0.750 0.250 1
Ni3 Ni 0.750 0.250 0.250 1
Ni4 Ni 0.750 0.750 0.750 1
```

Properties
Density (g cm⁻³): 6.28
Symmetry: No. 216
Calculated volume (A^3/atom): 27.343
VASP energy (eV for the cell shown): -46.76
Density of states at the Fermi level (states/eV/f.u.): 2.70

=====

(13)
A plane-wave DFT calculation with GGA-PBE was carried out for a relaxed structure of Ac2MgNi.

CIF file:
```
data_Ac2MgNi
_symmetry_space_group_name_H-M 'P 1'
_symmetry_Int_Tables_number 1
_cell_length_a 3.781
_cell_length_b 3.781
_cell_length_c 8.376
_cell_angle_alpha 90.00
_cell_angle_beta 90.00
_cell_angle_gamma 90.00
loop_
_symmetry_equiv_pos_as_xyz
'x,y,z'
loop_
_atom_site_label
_atom_site_type_symbol
_atom_site_fract_x
_atom_site_fract_y
_atom_site_fract_z
_atom_site_occupancy
Ac1 Ac 0.000 0.000 0.210 1
Ac2 Ac 0.000 0.000 0.790 1
Mg1 Mg 0.500 0.500 0.500 1
Ni1 Ni 0.500 0.500 0.000 1
```

Properties
Density (g cm⁻³): 7.45
Symmetry: No. 123
Calculated volume (A^3/atom): 29.930
VASP energy (eV for the cell shown): -15.98
Density of states at the Fermi level (states/eV/f.u.): 2.76

=====

(14)
A plane-wave DFT calculation with GGA-PBE was carried out for a relaxed structure of Ac2MgNi.

CIF file:
```
data_Ac2MgNi
_symmetry_space_group_name_H-M 'P 1'
_symmetry_Int_Tables_number 1
_cell_length_a 7.818
_cell_length_b 7.818
_cell_length_c 7.818
_cell_angle_alpha 90.00
_cell_angle_beta 90.00
_cell_angle_gamma 90.00
loop_
_symmetry_equiv_pos_as_xyz
'x,y,z'
loop_
_atom_site_label
_atom_site_type_symbol
_atom_site_fract_x
_atom_site_fract_y
_atom_site_fract_z
_atom_site_occupancy
Ac1 Ac 0.250 0.250 0.250 1
Ac2 Ac 0.250 0.250 0.750 1
Ac3 Ac 0.250 0.750 0.250 1
Ac4 Ac 0.250 0.750 0.750 1
Ac5 Ac 0.750 0.250 0.250 1
Ac6 Ac 0.750 0.250 0.750 1
Ac7 Ac 0.750 0.750 0.250 1
Ac8 Ac 0.750 0.750 0.750 1
Mg1 Mg 0.000 0.000 0.000 1
Mg2 Mg 0.000 0.500 0.500 1
Mg3 Mg 0.500 0.000 0.500 1
Mg4 Mg 0.500 0.500 0.000 1
Ni1 Ni 0.000 0.000 0.500 1
Ni2 Ni 0.000 0.500 0.000 1
Ni3 Ni 0.500 0.000 0.000 1
Ni4 Ni 0.500 0.500 0.500 1
```

Properties
Density (g cm⁻³): 7.47
Symmetry: No. 225
Calculated volume (A^3/atom): 29.860
VASP energy (eV for the cell shown): -62.05
Density of states at the Fermi level (states/eV/f.u.): 2.94

=====

(15)
A plane-wave DFT calculation with GGA-PBE was carried out for a relaxed structure of Ac2Mg5Ni4.

CIF file:
```
data_Ac2Mg5Ni4
_symmetry_space_group_name_H-M 'P 1'
_symmetry_Int_Tables_number 1
_cell_length_a 7.001
_cell_length_b 7.001
_cell_length_c 7.978
_cell_angle_alpha 122.97
_cell_angle_beta 122.97
_cell_angle_gamma 49.83
loop_
_symmetry_equiv_pos_as_xyz
'x,y,z'
loop_
_atom_site_label
_atom_site_type_symbol
_atom_site_fract_x
_atom_site_fract_y
_atom_site_fract_z
_atom_site_occupancy
Ac1 Ac 0.221 0.221 0.158 1
Ac2 Ac 0.779 0.779 0.842 1
Mg1 Mg 0.189 0.712 0.633 1
Mg2 Mg 0.288 0.811 0.367 1
Mg3 Mg 0.500 0.500 0.000 1
Mg4 Mg 0.712 0.189 0.633 1
Mg5 Mg 0.811 0.288 0.367 1
Ni1 Ni 0.156 0.156 0.734 1
Ni2 Ni 0.279 0.279 0.603 1
Ni3 Ni 0.721 0.721 0.397 1
Ni4 Ni 0.844 0.844 0.266 1
```

Properties
Density (g cm⁻³): 5.63
Symmetry: No. 12
Calculated volume (A^3/atom): 21.730
VASP energy (eV for the cell shown): -40.82
Density of states at the Fermi level (states/eV/f.u.): 6.66